Mg2MoPt | GGA-PBE | optimized geometry

abc: 3.9864 3.9864 8.5305
angles: 90.00 90.00 90.00
Positions (direct):
1 Mg 0.0000 0.5000 0.2500
2 Mg 0.0000 0.5000 0.7500
3 Mg 0.5000 0.0000 0.2500
4 Mg 0.5000 0.0000 0.7500
5 Mo 0.0000 0.0000 0.0000
6 Mo 0.5000 0.5000 0.5000
7 Pt 0.0000 0.0000 0.5000
8 Pt 0.5000 0.5000 0.0000

Computed properties:
The density of states at the Fermi level comes out at 5.88 states/eV per cell. The density is 8.3 g/cm3. As for the polymorph energy (0 for the lowest one): 241 meV/atom. The formation enthalpy at 0 K is 35 meV per atom. As for the size of the total moment: 0.354 μB per atom.